[1]
A relaxed Bi2ICl5 crystal, computed with PBE-GGA.

Properties
Its space group is Immm (71).

Unit cell a=7.408 b=7.408 c=7.408 alpha=143.94 beta=108.10 gamma=83.16
Positions (direct):
Bi1 0.243 0.243 0.000
Bi2 0.757 0.757 0.000
I1 0.500 0.000 0.500
Cl1 0.000 0.000 0.000
Cl2 0.014 0.332 0.682
Cl3 0.350 0.668 0.682
Cl4 0.650 0.332 0.318
Cl5 0.986 0.668 0.318



[2]
A relaxed BiI3Cl crystal, computed with PBE-GGA.

Properties
Its space group is Pm-3m (221).

Unit cell a=6.127 b=6.127 c=6.127 alpha=90.00 beta=90.00 gamma=90.00
Positions (direct):
Bi1 0.000 0.000 0.000
I1 0.000 0.000 0.500
I2 0.000 0.500 0.000
I3 0.500 0.000 0.000
Cl1 0.500 0.500 0.500



[3]
A relaxed BiIClO2 crystal, computed with PBE-GGA.

Properties
Its space group is P4/mmm (123).

Unit cell a=4.232 b=4.232 c=7.058 alpha=90.00 beta=90.00 gamma=90.00
Positions (direct):
Bi1 0.000 0.000 0.000
I1 0.000 0.000 0.500
Cl1 0.500 0.500 0.500
O1 0.000 0.500 0.000
O2 0.500 0.000 0.000



[4]
A relaxed BiIClO2 crystal, computed with PBE-GGA.

Properties
Its space group is P4/mmm (123).

Unit cell a=4.493 b=4.493 c=5.015 alpha=90.00 beta=90.00 gamma=90.00
Positions (direct):
Bi1 0.000 0.000 0.000
I1 0.500 0.500 0.000
Cl1 0.500 0.500 0.500
O1 0.000 0.500 0.500
O2 0.500 0.000 0.500



[5]
A relaxed BiIClO4 crystal, computed with PBE-GGA.

Properties
Its space group is C2/m (12).

Unit cell a=6.477 b=6.477 c=8.226 alpha=109.92 beta=109.92 gamma=76.43
Positions (direct):
Bi1 0.217 0.217 0.209
Bi2 0.783 0.783 0.791
I1 0.367 0.367 0.752
I2 0.633 0.633 0.248
Cl1 0.060 0.060 0.830
Cl2 0.940 0.940 0.170
O1 0.084 0.529 0.774
O2 0.342 0.342 0.517
O3 0.430 0.430 0.139
O4 0.471 0.916 0.226
O5 0.529 0.084 0.774
O6 0.570 0.570 0.861
O7 0.658 0.658 0.483
O8 0.916 0.471 0.226



[6]
A relaxed BiP2ICl crystal, computed with PBE-GGA.

Properties
Its space group is P4/mmm (123).

Unit cell a=5.552 b=5.552 c=5.311 alpha=90.00 beta=90.00 gamma=90.00
Positions (direct):
Bi1 0.000 0.000 0.000
P1 0.000 0.500 0.000
P2 0.500 0.000 0.000
I1 0.500 0.500 0.500
Cl1 0.000 0.000 0.500



| no. | uncorrected formation energy (eV/atom) | size of the total moment (μB/atom) |
| --- | --- | --- |
| 1 | -0.678 | 0.00 |
| 2 | 0.013 | 0.20 |
| 3 | -0.180 | 0.00 |
| 4 | 0.853 | 0.08 |
| 5 | -0.489 | 0.00 |
| 6 | 0.752 | 0.59 |